VASP calculation (PBE-GGA) on Pm2DyGa3Pt4 after structural relaxation.

Cell lengths 4.2374, 4.2374, 11.4656 Å; angles 90.00, 90.00, 90.00 degrees
Sites, in units of the cell vectors:
Pt 0.5000 0.0000 0.6578
Pt 0.0000 0.0000 0.0000
Pt 0.5000 0.5000 0.0000
Pt 0.0000 0.5000 0.3422
Ga 0.0000 0.0000 0.5000
Ga 0.5000 0.0000 0.8755
Ga 0.0000 0.5000 0.1245
Dy 0.5000 0.5000 0.5000
Pm 0.5000 0.0000 0.2270
Pm 0.0000 0.5000 0.7730

Computed properties:
Its formation energy is -0.981 eV/atom.